{
  "formula": "La2HPd6Pb",
  "functional": "GGA-PBE",
  "state": "relaxed",
  "n_ef_per_ev_atom": 0.484,
  "vol_a3_per_atom": 19.41,
  "sg": "C2/m (12)",
  "magnetic_moment_mub_per_atom": 0.00,
  "mass_density_kg_m3": 9618,
  "final_energy_ev_per_atom": -5.402,
  "lattice": [[-4.055, -3.944, -1.404], [2.355, -4.398, 5.548], [-4.171, -1.378, 3.818]],
  "species": ["La", "La", "H", "Pd", "Pd", "Pd", "Pd", "Pd", "Pd", "Pb"],
  "fractional_positions": [[0.736, 0.218, 0.528], [0.264, 0.782, 0.472], [0.500, 0.500, 0.000], [0.277, 0.334, 0.447], [0.727, 0.677, 0.038], [0.234, 0.676, 0.039], [0.766, 0.324, 0.961], [0.273, 0.323, 0.962], [0.723, 0.666, 0.553], [0.000, 0.000, 0.000]]
}



{
  "formula": "MnAlTl3",
  "functional": "GGA-PBE",
  "state": "relaxed",
  "n_ef_per_ev_atom": 0.757,
  "vol_a3_per_atom": 31.32,
  "sg": "Pm-3m (221)",
  "magnetic_moment_mub_per_atom": 0.92,
  "relative_energy_mev_per_atom": 169.8,
  "mass_density_kg_m3": 7371,
  "ef_ev_per_atom": 0.7216,
  "lattice": [[-3.887, 1.858, -3.239], [-1.395, -5.060, -1.227], [-3.463, -0.047, 4.130]],
  "species": ["Tl", "Tl", "Tl", "Mn", "Al"],
  "fractional_positions": [[0.000, 0.500, 0.000], [0.000, 0.000, 0.500], [0.500, 0.000, 0.000], [0.500, 0.500, 0.500], [0.000, 0.000, 0.000]]
}



{
  "formula": "SmHoAgPd",
  "functional": "GGA-PBE",
  "state": "relaxed",
  "n_ef_per_ev_atom": 0.988,
  "vol_a3_per_atom": 23.39,
  "sg": "P4mm (99)",
  "magnetic_moment_mub_per_atom": 0.00,
  "relative_energy_mev_per_atom": 0.0,
  "mass_density_kg_m3": 9398,
  "ef_ev_per_atom": -0.5703,
  "lattice": [[3.588, 0.000, 0.000], [0.000, 3.588, 0.000], [0.000, 0.000, 7.269]],
  "species": ["Sm", "Ho", "Ag", "Pd"],
  "fractional_positions": [[0.500, 0.500, 0.118], [0.500, 0.500, 0.595], [0.000, 0.000, 0.844], [0.000, 0.000, 0.371]]
}



{
  "formula": "KFe2P",
  "functional": "GGA-PBE",
  "state": "relaxed",
  "n_ef_per_ev_atom": 1.008,
  "vol_a3_per_atom": 17.93,
  "sg": "P4mm (99)",
  "magnetic_moment_mub_per_atom": 1.21,
  "mass_density_kg_m3": 4209,
  "ef_ev_per_atom": 0.2179,
  "lattice": [[3.055, 0.000, 0.000], [0.000, 3.055, 0.000], [0.000, 0.000, 7.682]],
  "species": ["K", "Fe", "Fe", "P"],
  "fractional_positions": [[0.000, 0.000, 0.526], [0.000, 0.000, 0.982], [0.500, 0.500, 0.149], [0.500, 0.500, 0.843]]
}



{
  "formula": "KHgCl2",
  "functional": "GGA-PBE",
  "state": "relaxed",
  "n_ef_per_ev_atom": 0.667,
  "vol_a3_per_atom": 27.61,
  "sg": "Cmmm (65)",
  "magnetic_moment_mub_per_atom": 0.00,
  "e_form_raw_ev_per_atom": -0.938,
  "relative_energy_mev_per_atom": 150.0,
  "mass_density_kg_m3": 4670,
  "lattice": [[3.895, 0.148, 0.000], [-0.824, 3.810, 0.000], [0.000, 0.000, 7.380]],
  "species": ["K", "Hg", "Cl", "Cl"],
  "fractional_positions": [[0.500, 0.500, 0.750], [0.500, 0.500, 0.250], [0.000, 0.000, 0.013], [0.000, 0.000, 0.487]]
}



{
  "formula": "Pm3Sm2Hg2",
  "functional": "GGA-PBE",
  "state": "relaxed",
  "n_ef_per_ev_atom": 1.181,
  "vol_a3_per_atom": 29.53,
  "sg": "Cmmm (65)",
  "magnetic_moment_mub_per_atom": 0.00,
  "relative_energy_mev_per_atom": 114.6,
  "mass_density_kg_m3": 9133,
  "ef_ev_per_atom": -0.1185,
  "lattice": [[-2.874, -2.171, -3.154], [2.655, -2.210, -0.897], [-4.993, -8.840, 7.001]],
  "species": ["Pm", "Pm", "Pm", "Sm", "Sm", "Hg", "Hg"],
  "fractional_positions": [[0.863, 0.000, 0.274], [0.000, 0.000, 0.000], [0.137, 0.000, 0.726], [0.709, 0.500, 0.583], [0.291, 0.500, 0.417], [0.571, 0.500, 0.859], [0.429, 0.500, 0.141]]
}



> Which formula does entry 6 have?

Pm3Sm2Hg2